Density functional theory data (PBE) for ErScGe2 after structural relaxation.

The calculation puts the raw total energy at -0.182 Ha/atom.

It has space group Amm2 (No. 38), with a = 3.165 Å, b = 5.647 Å, c = 11.162 Å, α = 90.00°, β = 90.00° and γ = 90.00°. The distinct sites, in fractional coordinates, are Er at (0.000, 0.000, 0.000), Sc at (0.000, 0.000, 0.295), Ge at (0.000, 0.000, 0.530) and Ge at (0.000, 0.000, 0.749).

***

Density functional theory data (PBE) for Tl2PdIBr3 after structural relaxation.

The calculation puts the raw total energy at -0.108 Ha/atom.

It has space group Amm2 (No. 38), with a = 4.409 Å, b = 10.748 Å, c = 10.691 Å, α = 90.00°, β = 90.00° and γ = 90.00°. The distinct sites, in fractional coordinates, are Tl at (0.000, 0.239, 0.000), Pd at (0.500, 0.000, 0.753), I at (0.500, 0.000, 0.509), Br at (0.500, 0.000, 0.986) and Br at (0.500, 0.230, 0.753).

***

Density functional theory data (PBE) for KScNiSe3 after structural relaxation.

The calculation puts the raw total energy at -0.185 Ha/atom.

It has space group P2_1/m (No. 11), with a = 8.872 Å, b = 3.893 Å, c = 9.498 Å, α = 90.00°, β = 110.75° and γ = 90.00°. The distinct sites, in fractional coordinates, are K at (0.209, 0.250, 0.237), Sc at (0.328, 0.750, 0.861), Ni at (0.080, 0.250, 0.596), Se at (0.116, 0.250, 0.858), Se at (0.200, 0.750, 0.543) and Se at (0.466, 0.750, 0.161).

***

Density functional theory data (PBE) for SmUW after structural relaxation.

Its energy of formation is 1435 meV/atom. The calculation puts the raw total energy at -0.302 Ha/atom.

It has space group F-43m (No. 216), with a = 6.677 Å, b = 6.677 Å, c = 6.677 Å, α = 90.00°, β = 90.00° and γ = 90.00°. The distinct sites, in fractional coordinates, are Sm at (0.000, 0.000, 0.000), U at (0.250, 0.250, 0.750) and W at (0.000, 0.000, 0.500).

***

Q: The highest raw total energy belongs to which entry?
A: Tl2PdIBr3

***

Q: Among the records above, which one has the highest raw total energy?
A: Tl2PdIBr3

***

Q: What is the formula in the first record?
A: ErScGe2